# Pm2DyMg | Alexandria | PBE | relaxed
# E_form, eV per atom: 0.2244
# Energy above the lowest structure with this stoichiometry, eV/atom: 0.2558
# DOS(E_F), states/eV/cell: 21.5
# Energy, eV per atom: -3.70
data_Pm2DyMg
_chemical_formula_sum 'Pm6 Dy3 Mg3'
_space_group_name_H-M_alt 'R -3 m'
_space_group_IT_number 166
_space_group_name_Hall '-R 3 2"'
_cell_length_a 3.4348
_cell_length_b 3.4348
_cell_length_c 37.2494
_cell_angle_alpha 90.00
_cell_angle_beta 90.00
_cell_angle_gamma 120.00
loop_
_atom_site_label
_atom_site_type_symbol
_atom_site_fract_x
_atom_site_fract_y
_atom_site_fract_z
Pm1 Pm 0.0000 0.0000 0.0917
Dy1 Dy 0.0000 0.0000 0.0000
Mg1 Mg 0.0000 0.0000 0.5000